(1)
Density functional theory data (GGA-PBEsol) for Ca5Si4Au6 after structural relaxation.

Cell lengths 10.396, 4.418, 26.235 Å; angles 90.00, 97.18, 90.00 degrees
Space group Cm (No. 8)
Symmetry-distinct sites (fractional):
Ca 0.000 0.000 0.000 x2
Ca 0.037 0.500 0.674 x2
Ca 0.099 0.500 0.198 x2
Ca 0.139 0.000 0.873 x2
Ca 0.190 0.000 0.395 x2
Ca 0.246 0.500 0.078 x2
Ca 0.289 0.500 0.593 x2
Ca 0.344 0.000 0.280 x2
Ca 0.389 0.000 0.795 x2
Ca 0.443 0.500 0.478 x2
Si 0.041 0.000 0.286 x2
Si 0.090 0.000 0.751 x2
Si 0.139 0.500 0.484 x2
Si 0.208 0.500 0.957 x2
Si 0.237 0.000 0.681 x2
Si 0.306 0.000 0.163 x2
Si 0.395 0.500 0.357 x2
Si 0.494 0.000 0.554 x2
Au 0.080 0.000 0.595 x2
Au 0.081 0.000 0.120 x2
Au 0.156 0.500 0.313 x2
Au 0.171 0.500 0.787 x2
Au 0.256 0.000 0.509 x2
Au 0.283 0.000 0.989 x2
Au 0.338 0.500 0.879 x2
Au 0.353 0.500 0.707 x2
Au 0.391 0.500 0.200 x2
Au 0.440 0.000 0.085 x2
Au 0.481 0.000 0.398 x2
Au 0.482 0.000 0.917 x2

Computed properties:
The calculation puts the total energy at -4.54 eV/atom. The raw formation energy comes out at -0.73 eV/atom.


(2)
Density functional theory data (GGA-PBEsol) for Mg2AgS2 after structural relaxation.

Cell lengths 4.352, 4.352, 11.026 Å; angles 90.00, 90.00, 90.00 degrees
Space group I4/mmm (No. 139)
Symmetry-distinct sites (fractional):
Mg 0.000 0.500 0.250 x4
Ag 0.000 0.000 0.000 x2
S 0.000 0.000 0.357 x4

Computed properties:
The calculation puts the total energy at -3.65 eV/atom. The raw formation energy comes out at -0.54 eV/atom.